# 1
# PmPr3Au3 (GGA-PBE, optimized geometry)
# Energy relative to the elements   -578 meV/atom
data_PmPr3Au3
_chemical_formula_sum 'Pm4 Pr12 Au12'
_symmetry_space_group_name_H-M 'C 1 2/m 1'
_symmetry_Int_Tables_number 12
_cell_length_a 9.842
_cell_length_b 11.101
_cell_length_c 7.464
_cell_angle_alpha 90.00
_cell_angle_beta 91.41
_cell_angle_gamma 90.00
loop_
_symmetry_equiv_pos_as_xyz
'x,y,z'
'-x,-y,-z'
'-x,y,-z'
'x,-y,z'
'x+1/2,y+1/2,z'
'-x+1/2,-y+1/2,-z'
'-x+1/2,y+1/2,-z'
'x+1/2,-y+1/2,z'
loop_
_atom_site_label
_atom_site_fract_x
_atom_site_fract_y
_atom_site_fract_z
Pm1 0.244 0.000 0.369
Pr1 0.000 0.245 0.500
Pr2 0.000 0.323 0.000
Pr3 0.148 0.000 0.870
Au1 0.066 0.500 0.313
Au2 0.242 0.247 0.228

# 2
# Pm2PrAu (GGA-PBE, optimized geometry)
# Energy relative to the lowest polymorph listed for this composition   0.000 eV per atom
# Energy relative to the elements   -404 meV/atom
data_Pm2PrAu
_chemical_formula_sum 'Pm8 Pr4 Au4'
_symmetry_space_group_name_H-M 'C m c m'
_symmetry_Int_Tables_number 63
_symmetry_space_group_name_Hall '-C 2c 2'
_cell_length_a 3.845
_cell_length_b 12.576
_cell_length_c 10.048
_cell_angle_alpha 90.00
_cell_angle_beta 90.00
_cell_angle_gamma 90.00
loop_
_atom_site_label
_atom_site_fract_x
_atom_site_fract_y
_atom_site_fract_z
Pm1 0.000 0.135 0.050
Pr1 0.000 0.438 0.250
Au1 0.000 0.265 0.750